No. 1
KBa2MgF: optimized geometry, PBE.

abc: 5.8197 5.8197 5.4924
angles: 90.00 90.00 90.00
Positions (direct):
Mg (0.5000, 0.5000, 0.5000)
Ba (0.0000, 0.5000, 0.0000)
K (0.0000, 0.0000, 0.5000)
F (0.0000, 0.0000, 0.0000)
Ba (0.5000, 0.0000, 0.0000)

Its uncorrected formation energy is -1.014 eV per atom. The symmetry is P4/mmm. The calculation puts the magnetization at 0.0 μB per formula unit. Its crystal system is tetragonal. The density of states at the Fermi level is 0.91 states/eV per atom.

---

No. 2
Tm8Cu2Ni: optimized geometry, PBE.

abc: 5.4130 9.2349 9.2349
angles: 137.69 99.61 99.61
Positions (direct):
Ni (0.4325, 0.0130, 0.0130)
Cu (0.4579, 0.7503, 0.2577)
Tm (0.8546, 0.7398, 0.7398)
Tm (0.0497, 0.2518, 0.2518)
Tm (0.9564, 0.7959, 0.2003)
Cu (0.4579, 0.2577, 0.7503)
Tm (0.3236, 0.8277, 0.5946)
Tm (0.3236, 0.5946, 0.8277)
Tm (0.9564, 0.2003, 0.7959)
Tm (0.5936, 0.1819, 0.4210)
Tm (0.5936, 0.4210, 0.1819)

The calculation puts the energy of formation from the pure elements at -0.11 eV/atom. The symmetry is Cm. The calculation puts the magnetization at 0.0 μB per formula unit. Its crystal system is monoclinic. The density of states at the Fermi level is 0.93 states/eV per atom.

---

Please write out number 1 again, unchanged.
KBa2MgF: optimized geometry, PBE.

abc: 5.8197 5.8197 5.4924
angles: 90.00 90.00 90.00
Positions (direct):
Mg (0.5000, 0.5000, 0.5000)
Ba (0.0000, 0.5000, 0.0000)
K (0.0000, 0.0000, 0.5000)
F (0.0000, 0.0000, 0.0000)
Ba (0.5000, 0.0000, 0.0000)

Its uncorrected formation energy is -1.014 eV per atom. The symmetry is P4/mmm. The calculation puts the magnetization at 0.0 μB per formula unit. Its crystal system is tetragonal. The density of states at the Fermi level is 0.91 states/eV per atom.